Record 1
## CoNiW2 (PBE)

Data for an optimized crystal structure of CoNiW2.

abc: 2.676 4.291 4.630
angles: 90.00 90.30 90.00
Fractional positions:
Co: 0.000 0.000 0.000
Ni: 0.999 0.500 0.329
W: 0.494 0.500 0.844
W: 0.504 0.000 0.482

Values from the calculation:
- polymorph energy (0 for the lowest one) (meV per atom) = 0
- total DFT energy (no corrections) (eV/atom) = -9.658
- energy of formation from the pure elements (kcal/mol of atoms) = 0.9

---

Record 2
## Cd5Ga3 (PBE)

Data for an optimized crystal structure of Cd5Ga3.

abc: 3.138 3.138 17.353
angles: 90.00 90.00 90.00
Fractional positions:
Cd: 0.000 0.000 0.000
Cd: 0.000 0.000 0.246
Cd: 0.000 0.000 0.754
Cd: 0.500 0.500 0.377
Cd: 0.500 0.500 0.623
Ga: 0.000 0.000 0.500
Ga: 0.500 0.500 0.124
Ga: 0.500 0.500 0.876

Values from the calculation:
- polymorph energy (0 for the lowest one) (meV per atom) = 6
- total DFT energy (no corrections) (eV/atom) = -1.670
- energy of formation from the pure elements (kcal/mol of atoms) = 0.9

---

Record 3
## MgInRe2 (PBE)

Data for an optimized crystal structure of MgInRe2.

abc: 9.616 9.616 9.616
angles: 17.21 17.21 17.21
Fractional positions:
Mg: 0.000 0.000 0.000
In: 0.500 0.500 0.500
Re: 0.251 0.251 0.251
Re: 0.749 0.749 0.749

Values from the calculation:
- polymorph energy (0 for the lowest one) (meV per atom) = 441
- total DFT energy (no corrections) (eV/atom) = -6.723
- energy of formation from the pure elements (kcal/mol of atoms) = 13.5

---

Record 4
## PuInSbCl (PBE)

Data for an optimized crystal structure of PuInSbCl.

abc: 5.333 5.333 5.333
angles: 60.00 60.00 60.00
Fractional positions:
Pu: 0.000 0.000 0.000
In: 0.500 0.500 0.500
Sb: 0.750 0.750 0.750
Cl: 0.250 0.250 0.250

Values from the calculation:
- total DFT energy (no corrections) (eV/atom) = -6.325
- uncorrected formation energy (meV per atom) = -565

---

Record 5
## PPtS2Cl (PBE)

Data for an optimized crystal structure of PPtS2Cl.

abc: 4.464 4.464 4.717
angles: 90.00 90.00 90.00
Fractional positions:
P: 0.000 0.000 0.000
Pt: 0.500 0.500 0.000
S: 0.000 0.500 0.500
S: 0.500 0.000 0.500
Cl: 0.000 0.000 0.500

Values from the calculation:
- polymorph energy (0 for the lowest one) (meV per atom) = 817
- total DFT energy (no corrections) (eV/atom) = -2.741
- uncorrected formation energy (meV per atom) = 1570

---

Record 6
## CaTlSeNF (PBE)

Data for an optimized crystal structure of CaTlSeNF.

abc: 8.336 8.336 8.336
angles: 155.30 155.30 35.21
Fractional positions:
Ca: 0.000 0.000 0.000
Tl: 0.717 0.717 0.000
Se: 0.368 0.368 0.000
N: 0.483 0.483 0.000
F: 0.139 0.139 0.000

Values from the calculation:
- polymorph energy (0 for the lowest one) (meV per atom) = 28
- total DFT energy (no corrections) (eV/atom) = -4.712
- uncorrected formation energy (meV per atom) = -1103

---

Record 7
## CsNpCd2Br8 (PBE)

Data for an optimized crystal structure of CsNpCd2Br8.

abc: 7.132 7.132 10.669
angles: 90.00 90.00 120.00
Fractional positions:
Cs: 0.000 0.000 0.000
Np: 0.000 0.000 0.500
Cd: 0.333 0.667 0.754
Cd: 0.667 0.333 0.246
Br: 0.018 0.688 0.334
Br: 0.312 0.330 0.334
Br: 0.330 0.018 0.666
Br: 0.333 0.667 0.993
Br: 0.667 0.333 0.007
Br: 0.670 0.982 0.334
Br: 0.688 0.670 0.666
Br: 0.982 0.312 0.666

Values from the calculation:
- total DFT energy (no corrections) (eV/atom) = -3.564
- uncorrected formation energy (meV per atom) = -1146